[1]
Entry from Alexandria via LeMat-Bulk: crystalline PmNdEr2 at its relaxed geometry (PBE).

Unit cell a=5.010 b=5.098 c=5.098 alpha=90.00 beta=90.00 gamma=90.00
Atoms (fractional coordinates):
Er  0.000  0.000  0.500
Nd  0.500  0.000  0.000
Er  0.000  0.500  0.000
Pm  0.500  0.500  0.500

Output
The calculation puts the energy relative to the lowest polymorph listed for this composition at 0.03 eV/f.u. The formation energy comes out at 0.022 eV/atom. The space group is P4/mmm, No. 123. The calculation puts the total magnetization at 0.000 μB/f.u. The calculation puts the electronic total energy at -4.6392 eV/atom.

=====

[2]
Entry from Alexandria via LeMat-Bulk: crystalline CuRh6 at its relaxed geometry (PBE).

Unit cell a=5.105 b=5.105 c=8.305 alpha=90.00 beta=90.00 gamma=90.00
Atoms (fractional coordinates):
Rh  0.500  0.500  0.857
Rh  0.821  0.679  0.359
Rh  0.679  0.179  0.359
Rh  0.321  0.179  0.641
Rh  0.179  0.321  0.359
Rh  0.321  0.821  0.359
Rh  0.179  0.679  0.641
Rh  0.000  0.000  0.857
Rh  0.679  0.821  0.641
Cu  0.500  0.000  0.000
Rh  0.000  0.000  0.143
Rh  0.500  0.500  0.143
Rh  0.821  0.321  0.641
Cu  0.000  0.500  0.000

Output
The formation energy comes out at 0.393 eV/atom. The space group is P4/nbm, No. 125. The calculation puts the total magnetization at 0.000 μB/f.u. The calculation puts the electronic total energy at -6.4930 eV/atom.

=====

[3]
Entry from Alexandria via LeMat-Bulk: crystalline LaMn4Co at its relaxed geometry (PBE).

Unit cell a=5.072 b=5.072 c=5.072 alpha=60.00 beta=60.00 gamma=60.00
Last column: magnetic moment on the atom in μB.
Atoms (fractional coordinates):
Mn  0.377  0.377  0.377  2.39
La  0.000  0.000  0.000  -0.01
Mn  0.870  0.377  0.377  2.39
Co  0.750  0.750  0.750  1.86
Mn  0.377  0.377  0.870  2.39
Mn  0.377  0.870  0.377  2.39

Output
The formation energy comes out at 0.432 eV/atom. The space group is F-43m, No. 216. The calculation puts the total magnetization at 11.692 μB/f.u. The calculation puts the electronic total energy at -7.6864 eV/atom.

=====

[4]
Entry from Alexandria via LeMat-Bulk: crystalline GaCuSn2 at its relaxed geometry (PBE).

Unit cell a=9.024 b=9.024 c=6.798 alpha=48.41 beta=48.41 gamma=90.00
Atoms (fractional coordinates):
Sn  0.230  0.625  0.250
Ga  0.000  0.000  0.000
Sn  0.375  0.480  0.750
Cu  0.500  0.500  0.000
Ga  0.750  0.250  0.500
Sn  0.520  0.125  0.250
Sn  0.875  0.770  0.750
Cu  0.250  0.750  0.500

Output
The formation energy comes out at 0.071 eV/atom. The space group is I-42d, No. 122. The calculation puts the total magnetization at 0.000 μB/f.u. The calculation puts the electronic total energy at -3.7108 eV/atom.

=====

[5]
Entry from Alexandria via LeMat-Bulk: crystalline KSr2Zn2 at its relaxed geometry (PBE).

Unit cell a=6.007 b=6.007 c=6.731 alpha=63.50 beta=63.50 gamma=90.00
Atoms (fractional coordinates):
Zn  0.618  0.618  0.764
Zn  0.382  0.382  0.236
K  0.000  0.000  0.000
Sr  0.250  0.750  0.500
Sr  0.750  0.250  0.500

Output
The calculation puts the energy relative to the lowest polymorph listed for this composition at 0.07 eV/f.u. The formation energy comes out at 0.034 eV/atom. The space group is I4/mmm, No. 139. The calculation puts the total magnetization at 0.000 μB/f.u. The calculation puts the electronic total energy at -1.3677 eV/atom.

=====

[6]
Entry from Alexandria via LeMat-Bulk: crystalline BeVAu at its relaxed geometry (PBE).

Unit cell a=4.260 b=4.260 c=5.318 alpha=90.00 beta=90.00 gamma=120.00
Last column: magnetic moment on the atom in μB.
Atoms (fractional coordinates):
Au  0.000  0.000  0.500  0.12
V  0.667  0.333  0.250  1.73
Be  0.333  0.667  0.250  0.03
Be  0.667  0.333  0.750  0.03
Au  0.000  0.000  0.000  0.12
V  0.333  0.667  0.750  1.73

Output
The calculation puts the energy relative to the lowest polymorph listed for this composition at 1.07 eV/f.u. The formation energy comes out at 0.268 eV/atom. The space group is P6_3/mmc, No. 194. The calculation puts the total magnetization at 2.083 μB/f.u. The calculation puts the electronic total energy at -5.1058 eV/atom.

=====

[7]
Entry from Alexandria via LeMat-Bulk: crystalline Cd2Ge2Br at its relaxed geometry (PBE).

Unit cell a=8.264 b=8.264 c=3.563 alpha=90.00 beta=90.00 gamma=90.00
Atoms (fractional coordinates):
Cd  0.190  0.310  0.000
Ge  0.608  0.892  0.500
Br  0.500  0.500  0.000
Cd  0.810  0.690  0.000
Br  0.000  0.000  0.000
Ge  0.108  0.608  0.500
Cd  0.690  0.190  0.000
Ge  0.392  0.108  0.500
Cd  0.310  0.810  0.000
Ge  0.892  0.392  0.500

Output
The calculation puts the energy relative to the lowest polymorph listed for this composition at 0.00 eV/f.u. As for the formation energy from raw total energies: 0.101 eV per atom. The space group is P4/mbm, No. 127. The calculation puts the total magnetization at 0.000 μB/f.u. The calculation puts the electronic total energy at -2.4468 eV/atom.

=====

[8]
Entry from Alexandria via LeMat-Bulk: crystalline Zn4Co3 at its relaxed geometry (PBE).

Unit cell a=4.769 b=4.769 c=4.683 alpha=90.00 beta=90.00 gamma=120.00
Last column: magnetic moment on the atom in μB.
Atoms (fractional coordinates):
Co  0.500  0.000  0.000  1.38
Zn  0.000  0.000  0.751  -0.03
Zn  0.000  0.000  0.249  -0.03
Zn  0.333  0.667  0.500  -0.01
Zn  0.667  0.333  0.500  -0.01
Co  0.500  0.500  0.000  1.38
Co  0.000  0.500  0.000  1.38

Output
The calculation puts the energy relative to the lowest polymorph listed for this composition at 0.60 eV/f.u. The formation energy comes out at 0.081 eV/atom. The space group is P6/mmm, No. 191. The calculation puts the total magnetization at 3.978 μB/f.u. The calculation puts the electronic total energy at -3.6919 eV/atom.